A geometry-optimized Co2Hg structure. Source: OQMD, functional GGA-PBE. Values from VASP.

## Properties
Energy of formation, eV per formula unit: 3.9
Total DFT energy (no corrections), eV per atom: -3.52
Symmetry: P4_2/mnm (136)

The structure in Quantum ESPRESSO input format:
```
&SYSTEM
  ibrav = 0, nat = 6, ntyp = 2
/
ATOMIC_SPECIES
Co 58.93 Co.upf
Hg 200.59 Hg.upf
CELL_PARAMETERS angstrom
5.0805 0.0000 0.0000
0.0000 5.0805 0.0000
0.0000 0.0000 4.6111
ATOMIC_POSITIONS crystal
Co 0.1516 0.1516 0.0000
Co 0.3484 0.6516 0.5000
Co 0.6516 0.3484 0.5000
Co 0.8484 0.8484 0.0000
Hg 0.0000 0.0000 0.5000
Hg 0.5000 0.5000 0.0000
```